# MnMoO3 PBE with a Hubbard U optimized geometry
data_MnMoO3
_symmetry_space_group_name_H-M 'P m -3 m'
_symmetry_Int_Tables_number 221
_symmetry_space_group_name_Hall '-P 4 2 3'
_cell_length_a 3.9732
_cell_length_b 3.9732
_cell_length_c 3.9732
_cell_angle_alpha 90.00
_cell_angle_beta 90.00
_cell_angle_gamma 90.00
loop_
_atom_site_label
_atom_site_fract_x
_atom_site_fract_y
_atom_site_fract_z
Mn1 0.0000 0.0000 0.0000
Mo1 0.5000 0.5000 0.5000
O1 0.0000 0.5000 0.5000
# E_tot = -7.102 eV per atom